# PBE ScCdMo, optimized geometry
# Calculated formation energy ... 0.1415 eV/atom
# N(E_F) ... 9.0 states/eV/cell
# ΔE to the lowest computed polymorph ... 0 meV per atom
data_ScCdMo
_chemical_formula_sum 'Sc4 Cd4 Mo4'
_space_group_name_H-M_alt 'F m m 2'
_space_group_IT_number 42
_space_group_name_Hall 'F 2 -2'
_cell_length_a 3.6820
_cell_length_b 4.4746
_cell_length_c 13.9784
_cell_angle_alpha 90.00
_cell_angle_beta 90.00
_cell_angle_gamma 90.00
loop_
_atom_site_label
_atom_site_type_symbol
_atom_site_fract_x
_atom_site_fract_y
_atom_site_fract_z
_atom_site_occupancy
Sc1 Sc 0.0000 0.0000 0.0000 1
Cd1 Cd 0.0000 0.0000 0.6806 1
Mo1 Mo 0.0000 0.0000 0.3457 1

# PBE BaSrCu, optimized geometry
# Calculated formation energy ... 0.0232 eV/atom
# N(E_F) ... 6.5 states/eV/cell
# ΔE to the lowest computed polymorph ... 37 meV per atom
data_BaSrCu
_chemical_formula_sum 'Ba2 Sr2 Cu2'
_space_group_name_H-M_alt 'I 4 m m'
_space_group_IT_number 107
_space_group_name_Hall 'I 4 -2'
_cell_length_a 3.9630
_cell_length_b 3.9630
_cell_length_c 14.4838
_cell_angle_alpha 90.00
_cell_angle_beta 90.00
_cell_angle_gamma 90.00
loop_
_atom_site_label
_atom_site_type_symbol
_atom_site_fract_x
_atom_site_fract_y
_atom_site_fract_z
_atom_site_occupancy
Ba1 Ba 0.0000 0.0000 0.0000 1
Sr1 Sr 0.0000 0.0000 0.2557 1
Cu1 Cu 0.0000 0.0000 0.6352 1

# PBE K3La2PbSe6, optimized geometry
# Raw formation energy ... -1.43 eV/atom
# N(E_F) ... 10.6 states/eV/cell
data_K3La2PbSe6
_chemical_formula_sum 'K6 La4 Pb2 Se12'
_space_group_name_H-M_alt 'C 1 2/m 1'
_space_group_IT_number 12
_cell_length_a 7.6360
_cell_length_b 13.2250
_cell_length_c 8.1375
_cell_angle_alpha 90.00
_cell_angle_beta 108.20
_cell_angle_gamma 90.00
loop_
_space_group_symop_operation_xyz
'x,y,z'
'-x,-y,-z'
'-x,y,-z'
'x,-y,z'
'x+1/2,y+1/2,z'
'-x+1/2,-y+1/2,-z'
'-x+1/2,y+1/2,-z'
'x+1/2,-y+1/2,z'
loop_
_atom_site_label
_atom_site_type_symbol
_atom_site_fract_x
_atom_site_fract_y
_atom_site_fract_z
_atom_site_occupancy
K1 K 0.0000 0.0000 0.0000 1
K2 K 0.0000 0.3355 0.0000 1
La1 La 0.0000 0.1669 0.5000 1
Pb1 Pb 0.0000 0.5000 0.5000 1
Se1 Se 0.2372 0.0000 0.7129 1
Se2 Se 0.2381 0.3332 0.7136 1

# PBE ZnGa3Sb, optimized geometry
# Raw formation energy ... 0.25 eV/atom
# N(E_F) ... 1.0 states/eV/cell
# ΔE to the lowest computed polymorph ... 0 meV per atom
data_ZnGa3Sb
_chemical_formula_sum 'Zn1 Ga3 Sb1'
_space_group_name_H-M_alt 'P m -3 m'
_space_group_IT_number 221
_space_group_name_Hall '-P 4 2 3'
_cell_length_a 4.8866
_cell_length_b 4.8866
_cell_length_c 4.8866
_cell_angle_alpha 90.00
_cell_angle_beta 90.00
_cell_angle_gamma 90.00
loop_
_atom_site_label
_atom_site_type_symbol
_atom_site_fract_x
_atom_site_fract_y
_atom_site_fract_z
_atom_site_occupancy
Zn1 Zn 0.0000 0.0000 0.0000 1
Ga1 Ga 0.0000 0.0000 0.5000 1
Sb1 Sb 0.5000 0.5000 0.5000 1

# PBE LaDy4Cd5, optimized geometry
# Calculated formation energy ... -0.3178 eV/atom
# N(E_F) ... 11.5 states/eV/cell
data_LaDy4Cd5
_chemical_formula_sum 'La1 Dy4 Cd5'
_space_group_name_H-M_alt 'P 4/m m m'
_space_group_IT_number 123
_space_group_name_Hall '-P 4 2'
_cell_length_a 3.7594
_cell_length_b 3.7594
_cell_length_c 19.1195
_cell_angle_alpha 90.00
_cell_angle_beta 90.00
_cell_angle_gamma 90.00
loop_
_atom_site_label
_atom_site_type_symbol
_atom_site_fract_x
_atom_site_fract_y
_atom_site_fract_z
_atom_site_occupancy
La1 La 0.0000 0.0000 0.0000 1
Dy1 Dy 0.0000 0.0000 0.2078 1
Dy2 Dy 0.0000 0.0000 0.4029 1
Cd1 Cd 0.5000 0.5000 0.1136 1
Cd2 Cd 0.5000 0.5000 0.3050 1
Cd3 Cd 0.5000 0.5000 0.5000 1

# PBE Ac2VCrS6, optimized geometry
# Raw formation energy ... -1.48 eV/atom
# N(E_F) ... 10.8 states/eV/cell
data_Ac2VCrS6
_chemical_formula_sum 'Ac4 V2 Cr2 S12'
_space_group_name_H-M_alt 'P 1 21/c 1'
_space_group_IT_number 14
_cell_length_a 6.5332
_cell_length_b 7.0169
_cell_length_c 11.4499
_cell_angle_alpha 90.00
_cell_angle_beta 124.67
_cell_angle_gamma 90.00
loop_
_space_group_symop_operation_xyz
'x,y,z'
'-x,-y,-z'
'-x,y+1/2,-z+1/2'
'x,-y+1/2,z+1/2'
loop_
_atom_site_label
_atom_site_type_symbol
_atom_site_fract_x
_atom_site_fract_y
_atom_site_fract_z
_atom_site_occupancy
Ac1 Ac 0.2219 0.0828 0.2492 1
V1 V 0.5000 0.0000 0.0000 1
Cr1 Cr 0.0000 0.0000 0.5000 1
S1 S 0.1519 0.1995 0.9589 1
S2 S 0.2674 0.6968 0.9607 1
S3 S 0.3313 0.0055 0.7504 1